Entry 1:
# LiSc2Sn | Alexandria | GGA-PBE | relaxed
data_LiSc2Sn
_chemical_formula_sum 'Li1 Sc2 Sn1'
_symmetry_space_group_name_H-M 'P 1'
_symmetry_Int_Tables_number 1
_cell_length_a 4.147
_cell_length_b 4.548
_cell_length_c 4.548
_cell_angle_alpha 90.00
_cell_angle_beta 90.00
_cell_angle_gamma 90.00
loop_
_symmetry_equiv_pos_as_xyz
'x,y,z'
loop_
_atom_site_label
_atom_site_type_symbol
_atom_site_fract_x
_atom_site_fract_y
_atom_site_fract_z
Sc1 Sc 0.000 0.000 0.500
Sc2 Sc 0.000 0.500 0.000
Sn1 Sn 0.500 0.500 0.500
Li1 Li 0.500 0.000 0.000
# - M_tot (μB/atom) = 0.151
# - mass density (g/cm3) = 4.173
# - energy of formation from the pure elements (eV/atom) = -0.405


Entry 2:
# Ta3Nb6W | Alexandria | GGA-PBE | relaxed
data_Ta3Nb6W
_chemical_formula_sum 'Ta6 Nb12 W2'
_symmetry_space_group_name_H-M 'P 1'
_symmetry_Int_Tables_number 1
_cell_length_a 2.739
_cell_length_b 11.164
_cell_length_c 12.140
_cell_angle_alpha 96.92
_cell_angle_beta 90.00
_cell_angle_gamma 90.00
loop_
_symmetry_equiv_pos_as_xyz
'x,y,z'
loop_
_atom_site_label
_atom_site_type_symbol
_atom_site_fract_x
_atom_site_fract_y
_atom_site_fract_z
Ta1 Ta 0.750 0.427 0.900
Ta2 Ta 0.250 0.573 0.100
Ta3 Ta 0.750 0.623 0.495
Ta4 Ta 0.250 0.377 0.505
Ta5 Ta 0.750 0.072 0.098
Ta6 Ta 0.250 0.928 0.902
Nb1 Nb 0.750 0.526 0.700
Nb2 Nb 0.250 0.474 0.300
Nb3 Nb 0.750 0.824 0.100
Nb4 Nb 0.250 0.176 0.900
Nb5 Nb 0.750 0.324 0.101
Nb6 Nb 0.250 0.676 0.899
Nb7 Nb 0.750 0.727 0.300
Nb8 Nb 0.250 0.273 0.700
Nb9 Nb 0.750 0.124 0.497
Nb10 Nb 0.250 0.876 0.503
Nb11 Nb 0.750 0.782 0.702
Nb12 Nb 0.250 0.218 0.298
W1 W 0.750 0.025 0.701
W2 W 0.250 0.975 0.299
# - M_tot (μB/atom) = 0.000
# - relative energy among the computed polymorphs (kJ/mol of formula units) = 234
# - mass density (g/cm3) = 11.573
# - energy of formation from the pure elements (eV/atom) = 0.224


Entry 3:
# YZnSi | Alexandria | GGA-PBE | relaxed
data_YZnSi
_chemical_formula_sum 'Y1 Zn1 Si1'
_symmetry_space_group_name_H-M 'P 1'
_symmetry_Int_Tables_number 1
_cell_length_a 5.699
_cell_length_b 5.699
_cell_length_c 5.699
_cell_angle_alpha 147.68
_cell_angle_beta 143.05
_cell_angle_gamma 49.90
loop_
_symmetry_equiv_pos_as_xyz
'x,y,z'
loop_
_atom_site_label
_atom_site_type_symbol
_atom_site_fract_x
_atom_site_fract_y
_atom_site_fract_z
Si1 Si 0.027 0.027 0.000
Y1 Y 0.334 0.334 0.000
Zn1 Zn 0.639 0.639 0.000
# - M_tot (μB/atom) = 0.111
# - mass density (g/cm3) = 5.115
# - raw formation energy (eV per formula unit) = -0.61


Entry 4:
# TbSmCoHg | Alexandria | GGA-PBE | relaxed
data_TbSmCoHg
_chemical_formula_sum 'Tb1 Sm1 Co1 Hg1'
_symmetry_space_group_name_H-M 'P 1'
_symmetry_Int_Tables_number 1
_cell_length_a 5.095
_cell_length_b 5.095
_cell_length_c 5.095
_cell_angle_alpha 60.00
_cell_angle_beta 60.00
_cell_angle_gamma 60.00
loop_
_symmetry_equiv_pos_as_xyz
'x,y,z'
loop_
_atom_site_label
_atom_site_type_symbol
_atom_site_fract_x
_atom_site_fract_y
_atom_site_fract_z
Co1 Co 0.750 0.750 0.750
Tb1 Tb 0.500 0.500 0.500
Hg1 Hg 0.250 0.250 0.250
Sm1 Sm 0.000 0.000 0.000
# - M_tot (μB/atom) = 0.129
# - mass density (g/cm3) = 10.097
# - energy of formation from the pure elements (eV/atom) = -0.187